1.
VASP calculation (PBE) on a relaxed structure of TbPr2TmTe6.

The value obtained for the formation energy from raw total energies is -13.7 eV per formula unit.

The space group is R3 (No. 146, hexagonal axes) and the conventional cell measures 7.8642, 7.8642 and 21.1808 Å, with angles of 90.00, 90.00 and 120.00 degrees. The distinct sites, in fractional coordinates, are Tb at (0.0000, 0.0000, 0.0000), Pr at (0.0000, 0.0000, 0.3086), Pr at (0.0000, 0.0000, 0.8085), Tm at (0.0000, 0.0000, 0.4998), Te at (0.0352, 0.6908, 0.5756) and Te at (0.0381, 0.3492, 0.0770).

2.
VASP calculation (PBE) on a relaxed structure of TbPr2Tm3Te6.

The value obtained for the formation energy from raw total energies is -15.5 eV per formula unit.

The space group is C2/m (No. 12) and the conventional cell measures 19.341, 4.321 and 8.928 Å, with angles of 90.00, 105.59 and 90.00 degrees. The distinct sites, in fractional coordinates, are Tb at (0.000, 0.000, 0.000), Pr at (0.169, 0.500, 0.338), Tm at (0.000, 0.000, 0.500), Tm at (0.171, 0.500, 0.836), Te at (0.005, 0.500, 0.748), Te at (0.161, 0.000, 0.595) and Te at (0.166, 0.000, 0.071).

3.
VASP calculation (PBE) on a relaxed structure of Tb2PrTmTe5.

The value obtained for the formation energy from raw total energies is -6.6 eV per formula unit.

The space group is P4/mmm (No. 123) and the conventional cell measures 5.482, 5.482 and 11.819 Å, with angles of 90.00, 90.00 and 90.00 degrees. The distinct sites, in fractional coordinates, are Tb at (0.000, 0.000, 0.147), Pr at (0.500, 0.500, 0.500), Tm at (0.500, 0.500, 0.000), Te at (0.000, 0.000, 0.500), Te at (0.000, 0.500, 0.000) and Te at (0.500, 0.500, 0.247).

E_tot, record by record: -5.116; -5.161; -4.535 eV per atom